PBE-GGA NdHgAu, optimized geometry; symmetry = I4mm; ΔE_f = -55.6 kJ/mol of atoms
1.0
-1.9704 1.9704 4.7807
1.9704 -1.9704 4.7807
1.9704 1.9704 -4.7807
Nd Hg Au
1 1 1
Direct
0.0000 0.0000 0.0000
0.6749 0.6749 0.0000
0.3390 0.3390 0.0000



PBE-GGA GaTeSe2, optimized geometry; formation energy from raw total energies = -1.3 eV/f.u.; symmetry = P1; offset from the most stable computed form = 0 meV per atom
1.0
3.9262 0.0000 0.0000
0.0673 7.2503 0.0000
1.3182 2.6189 9.0445
Ga Te Se
2 2 4
Direct
0.0000 0.0000 0.0000
0.3636 0.5302 0.2751
0.7413 0.2312 0.6500
0.8028 0.3588 0.9313
0.1710 0.9381 0.7628
0.2480 0.5172 0.5383
0.4394 0.8813 0.1664
0.8835 0.3555 0.2211



PBE-GGA SmY6Ho3Sc2, optimized geometry; symmetry = C2/m; ΔE_f = 4.1 kJ/mol of atoms
1.0
3.0448 -5.2690 0.0000
3.0448 5.2690 0.0000
-2.0220 0.0000 11.4717
Sm Y Ho Sc
1 6 3 2
Direct
0.0000 0.0000 0.0000
0.0826 0.4183 0.2464
0.2535 0.2535 0.7538
0.4183 0.0826 0.2464
0.5817 0.9174 0.7536
0.7465 0.7465 0.2462
0.9174 0.5817 0.7536
0.1671 0.8329 0.5000
0.5000 0.5000 0.5000
0.8329 0.1671 0.5000
0.3333 0.6667 0.0000
0.6667 0.3333 0.0000



PBE-GGA Sn2BiRu2, optimized geometry; symmetry = P4/mbm; ΔE_f = 5.0 kJ/mol of atoms; offset from the most stable computed form = 0 meV per atom
1.0
7.8862 0.0000 0.0000
0.0000 7.8862 0.0000
0.0000 0.0000 3.1723
Sn Bi Ru
4 2 4
Direct
0.1445 0.3555 0.0000
0.3555 0.8555 0.0000
0.6445 0.1445 0.0000
0.8555 0.6445 0.0000
0.0000 0.0000 0.5000
0.5000 0.5000 0.5000
0.1488 0.6488 0.5000
0.3512 0.1488 0.5000
0.6488 0.8512 0.5000
0.8512 0.3512 0.5000



PBE-GGA Na3TbSc2Se6, optimized geometry; formation energy from raw total energies = -19.4 eV/f.u.; symmetry = C2/m
1.0
3.4801 -6.0299 0.0000
3.4801 6.0299 0.0000
-2.3273 0.0000 6.9743
Na Tb Sc Se
3 1 2 6
Direct
0.0000 0.0000 0.0000
0.3361 0.6639 0.0000
0.6639 0.3361 0.0000
0.5000 0.5000 0.5000
0.1672 0.8328 0.5000
0.8328 0.1672 0.5000
0.0792 0.4257 0.2779
0.2277 0.2277 0.7223
0.4257 0.0792 0.2779
0.5743 0.9208 0.7221
0.7723 0.7723 0.2777
0.9208 0.5743 0.7221



PBE-GGA U2CN, optimized geometry; formation energy from raw total energies = -2.0 eV/f.u.; symmetry = R3m; offset from the most stable computed form = 215 meV per atom
1.0
1.6479 0.9514 6.1729
-1.6479 0.9514 6.1729
0.0000 -1.9029 6.1729
U C N
2 1 1
Direct
0.0000 0.0000 0.0000
0.1713 0.1713 0.1713
0.5862 0.5862 0.5862
0.4194 0.4194 0.4194



PBE-GGA MgSi6Ni6, optimized geometry; formation energy from raw total energies = -5.5 eV/f.u.; symmetry = P6/mmm; offset from the most stable computed form = 0 meV per atom
1.0
4.9183 0.0000 0.0000
-2.4591 4.2593 0.0000
0.0000 0.0000 7.6366
Mg Si Ni
1 6 6
Direct
0.0000 0.0000 0.0000
0.0000 0.0000 0.3460
0.0000 0.0000 0.6540
0.3333 0.6667 0.0000
0.3333 0.6667 0.5000
0.6667 0.3333 0.0000
0.6667 0.3333 0.5000
0.0000 0.5000 0.2508
0.0000 0.5000 0.7492
0.5000 0.0000 0.2508
0.5000 0.0000 0.7492
0.5000 0.5000 0.2508
0.5000 0.5000 0.7492



PBE-GGA UVOsW, optimized geometry; symmetry = F-43m; ΔE_f = 27.4 kJ/mol of atoms
1.0
0.0000 3.2066 3.2066
3.2066 0.0000 3.2066
3.2066 3.2066 0.0000
U V Os W
1 1 1 1
Direct
0.0000 0.0000 0.0000
0.7500 0.7500 0.7500
0.5000 0.5000 0.5000
0.2500 0.2500 0.2500



PBE-GGA Mn2TcSe, optimized geometry; formation energy from raw total energies = 0.9 eV/f.u.; symmetry = Immm
1.0
-1.5030 2.1152 4.1872
1.5030 -2.1152 4.1872
1.5030 2.1152 -4.1872
Mn Tc Se
2 1 1
Direct
0.2360 0.2360 0.0000
0.7640 0.7640 0.0000
0.5000 0.0000 0.5000
0.0000 0.5000 0.5000



PBE-GGA Ca2BeCo, optimized geometry; symmetry = I-4m2; ΔE_f = 53.6 kJ/mol of atoms
1.0
-2.1349 2.1349 4.3982
2.1349 -2.1349 4.3982
2.1349 2.1349 -4.3982
Ca Be Co
2 1 1
Direct
0.0000 0.0000 0.0000
0.7500 0.2500 0.5000
0.5000 0.5000 0.0000
0.2500 0.7500 0.5000



PBE-GGA LiIn2Hg, optimized geometry; symmetry = R3m; ΔE_f = -12.3 kJ/mol of atoms
1.0
1.7209 0.9936 9.2812
-1.7209 0.9936 9.2812
0.0000 -1.9871 9.2812
Li In Hg
1 2 1
Direct
0.0000 0.0000 0.0000
0.5054 0.5054 0.5054
0.7466 0.7466 0.7466
0.2614 0.2614 0.2614



PBE-GGA HfI3O, optimized geometry; formation energy from raw total energies = -6.6 eV/f.u.; symmetry = P-1
1.0
3.6012 0.0000 0.0000
1.7973 8.8799 0.0000
1.8000 2.2517 12.9352
Hf I O
2 6 2
Direct
0.1345 0.4172 0.3146
0.8655 0.5828 0.6854
0.1163 0.6424 0.1258
0.1265 0.2279 0.5195
0.3100 0.1674 0.2127
0.6900 0.8326 0.7873
0.8735 0.7721 0.4805
0.8837 0.3576 0.8742
0.4110 0.5187 0.6584
0.5890 0.4813 0.3416